Record 1
{
  "formula": "ReTe2SeS2",
  "functional": "GGA-PBE",
  "state": "relaxed",
  "lattice_angstrom": [[6.8454, 0.0000, 0.0000], [2.3133, 6.6250, 0.0000], [0.1405, 3.6631, 6.9505]],
  "species": ["Re", "Re", "Te", "Te", "Te", "Te", "Se", "Se", "S", "S", "S", "S"],
  "frac_coords": [[0.0028, 0.1976, 0.0055], [0.9972, 0.8024, 0.9945], [0.0051, 0.2491, 0.4789], [0.2730, 0.5119, 0.3375], [0.7270, 0.4881, 0.6625], [0.9949, 0.7509, 0.5211], [0.2075, 0.4924, 0.8906], [0.7925, 0.5076, 0.1094], [0.2216, 0.9953, 0.8622], [0.2253, 0.0161, 0.2921], [0.7747, 0.9839, 0.7079], [0.7784, 0.0047, 0.1378]],
  "final_energy_ev_per_cell": -61.646,
  "space_group": "P-1",
  "volume_a3_per_cell": 315
}

***

Record 2
{
  "formula": "ReTe3SeS",
  "functional": "GGA-PBE",
  "state": "relaxed",
  "lattice_angstrom": [[6.8743, 0.0000, 0.0000], [-1.5366, 7.2387, 0.0000], [-3.0100, -2.9158, 7.3649]],
  "species": ["Re", "Re", "Te", "Te", "Te", "Te", "Te", "Te", "Se", "Se", "S", "S"],
  "frac_coords": [[0.2224, 0.0050, 0.0210], [0.7776, 0.9950, 0.9790], [0.0631, 0.7843, 0.6502], [0.2519, 0.9740, 0.3493], [0.4413, 0.6407, 0.7359], [0.5587, 0.3593, 0.2641], [0.7481, 0.0260, 0.6507], [0.9369, 0.2157, 0.3498], [0.4953, 0.8149, 0.0743], [0.5047, 0.1851, 0.9257], [0.0491, 0.2403, 0.9680], [0.9509, 0.7597, 0.0320]],
  "final_energy_ev_per_cell": -58.992,
  "space_group": "P-1",
  "volume_a3_per_cell": 366
}

***

Record 3
{
  "formula": "ReTe3SeS",
  "functional": "GGA-PBE",
  "state": "relaxed",
  "lattice_angstrom": [[6.8952, 0.0000, 0.0000], [1.9629, 6.8924, 0.0000], [3.3337, 1.7285, 7.2719]],
  "species": ["Re", "Re", "Te", "Te", "Te", "Te", "Te", "Te", "Se", "Se", "S", "S"],
  "frac_coords": [[0.2109, 0.0108, 0.4732], [0.7891, 0.9892, 0.5268], [0.1230, 0.7358, 0.3725], [0.2337, 0.6936, 0.7709], [0.2421, 0.9613, 0.9680], [0.7579, 0.0387, 0.0320], [0.7663, 0.3064, 0.2291], [0.8770, 0.2642, 0.6275], [0.4103, 0.2065, 0.5584], [0.5897, 0.7935, 0.4416], [0.3048, 0.1874, 0.1763], [0.6952, 0.8126, 0.8237]],
  "final_energy_ev_per_cell": -58.417,
  "space_group": "P-1",
  "volume_a3_per_cell": 346
}

***

Record 4
{
  "formula": "Re2TeSeS2",
  "functional": "GGA-PBE",
  "state": "relaxed",
  "lattice_angstrom": [[6.6201, 0.0000, 0.0000], [-3.1960, 5.9994, 0.0000], [-1.7876, -1.0902, 6.6756]],
  "species": ["Re", "Re", "Re", "Re", "Te", "Te", "Se", "Se", "S", "S", "S", "S"],
  "frac_coords": [[0.0086, 0.2046, 0.0040], [0.4338, 0.1734, 0.0117], [0.5662, 0.8266, 0.9883], [0.9914, 0.7954, 0.9960], [0.2716, 0.3950, 0.7585], [0.7284, 0.6050, 0.2415], [0.2512, 0.6285, 0.1863], [0.7488, 0.3715, 0.8137], [0.2324, 0.8533, 0.7669], [0.2354, 0.1014, 0.2598], [0.7646, 0.8986, 0.7402], [0.7676, 0.1467, 0.2331]],
  "final_energy_ev_per_cell": -84.272,
  "space_group": "P-1",
  "volume_a3_per_cell": 265
}

***

Record 5
{
  "formula": "ReTe3SeS",
  "functional": "GGA-PBE",
  "state": "relaxed",
  "lattice_angstrom": [[6.9849, 0.0000, 0.0000], [1.8243, 6.8500, 0.0000], [3.4909, 1.0431, 7.1958]],
  "species": ["Re", "Re", "Te", "Te", "Te", "Te", "Te", "Te", "Se", "Se", "S", "S"],
  "frac_coords": [[0.2221, 0.4978, 0.4975], [0.7779, 0.5022, 0.5025], [0.1614, 0.2249, 0.7993], [0.2529, 0.5050, 0.9767], [0.3301, 0.7604, 0.1790], [0.6699, 0.2396, 0.8210], [0.7471, 0.4950, 0.0233], [0.8386, 0.7751, 0.2007], [0.1269, 0.2893, 0.3449], [0.8731, 0.7107, 0.6551], [0.3983, 0.6667, 0.6102], [0.6017, 0.3333, 0.3898]],
  "final_energy_ev_per_cell": -58.649,
  "space_group": "P-1",
  "volume_a3_per_cell": 344
}

***

Record 6
{
  "formula": "ReTe2Se2S",
  "functional": "GGA-PBE",
  "state": "relaxed",
  "lattice_angstrom": [[6.8890, 0.0000, 0.0000], [-1.4036, 7.4133, 0.0000], [-2.5763, -3.5707, 6.6929]],
  "species": ["Re", "Re", "Te", "Te", "Te", "Te", "Se", "Se", "Se", "Se", "S", "S"],
  "frac_coords": [[0.2184, 0.0092, 0.0186], [0.7816, 0.9908, 0.9814], [0.2401, 0.0262, 0.3700], [0.4418, 0.6260, 0.6839], [0.5582, 0.3740, 0.3161], [0.7599, 0.9738, 0.6300], [0.0627, 0.7953, 0.6384], [0.4761, 0.8060, 0.0523], [0.5239, 0.1940, 0.9477], [0.9373, 0.2047, 0.3616], [0.0467, 0.2428, 0.9766], [0.9533, 0.7572, 0.0234]],
  "final_energy_ev_per_cell": -60.072,
  "space_group": "P-1",
  "volume_a3_per_cell": 342
}